SbN | PBE | optimized geometry

Cell lengths 5.282, 5.282, 4.890 Å; angles 90.00, 90.00, 90.00 degrees
Atoms (fractional coordinates):
Sb 0.786 0.786 0.000
Sb 0.286 0.714 0.500
Sb 0.714 0.286 0.500
Sb 0.214 0.214 0.000
N 0.801 0.199 0.000
N 0.301 0.301 0.500
N 0.699 0.699 0.500
N 0.199 0.801 0.000

Calculated values
theoretical density = 6.6 Mg/m³
excess energy over the best structure of this formula in the dataset = 363 meV/atom
uncorrected energy = -44.1 eV per cell
total moment = 0.00 μB per cell


AgSCl | PBE | optimized geometry

Cell lengths 4.303, 4.305, 5.368 Å; angles 96.50, 106.47, 118.43 degrees
Atoms (fractional coordinates):
S 0.785 0.502 0.669
Ag 0.075 0.128 0.581
Cl 0.010 0.678 0.097

Calculated values
theoretical density = 3.6 Mg/m³
excess energy over the best structure of this formula in the dataset = 255 meV/atom
uncorrected energy = -8.8 eV per cell
total moment = 0.00 μB per cell


Number 2 is which compound? AgSCl